A geometry-optimized CaHo3Cu structure, computed with PBE.

Unit cell a=5.433 b=5.433 c=5.433 alpha=90.00 beta=90.00 gamma=90.00
Sites, in units of the cell vectors:
Ho 0.000 0.000 0.500
Ho 0.500 0.000 0.000
Ho 0.000 0.500 0.000
Ca 0.500 0.500 0.500
Cu 0.000 0.000 0.000

SG: Pm-3m
Energy of formation, eV per atom: 0.117
DOS(E_F), states/eV/atom: 1.859


A geometry-optimized AcNd8Tm5 structure, computed with PBE.

Unit cell a=8.654 b=8.620 c=8.654 alpha=111.72 beta=105.46 gamma=111.49
Sites, in units of the cell vectors:
Nd 0.532 0.603 0.277
Nd 0.072 0.746 0.468
Nd 0.918 0.073 0.657
Nd 0.673 0.397 0.929
Nd 0.584 0.927 0.844
Nd 0.345 0.264 0.416
Nd 0.153 0.736 0.081
Nd 0.722 0.254 0.326
Tm 0.870 0.914 0.189
Tm 0.813 0.681 0.726
Tm 0.275 0.086 0.956
Tm 0.045 0.319 0.132
Tm 0.500 0.000 0.500
Ac 0.250 0.500 0.750

SG: C2
Energy of formation, eV per atom: 0.243
DOS(E_F), states/eV/atom: 1.522